Entry 1:
# Sc2PtCl PBE optimized geometry
# - D(E_F): 2.8 states/eV/f.u.
# - Formation energy (no corrections): -0.5225 eV per atom
# - Total energy: -5.660 eV/atom
data_Sc2PtCl
_chemical_formula_sum 'Sc6 Pt3 Cl3'
_symmetry_space_group_name_H-M 'R -3 m'
_symmetry_Int_Tables_number 166
_symmetry_space_group_name_Hall '-R 3 2"'
_cell_length_a 3.1189
_cell_length_b 3.1189
_cell_length_c 27.9166
_cell_angle_alpha 90.00
_cell_angle_beta 90.00
_cell_angle_gamma 120.00
loop_
_atom_site_label
_atom_site_fract_x
_atom_site_fract_y
_atom_site_fract_z
Sc1 0.0000 0.0000 0.0906
Pt1 0.0000 0.0000 0.0000
Cl1 0.0000 0.0000 0.5000

---

Entry 2:
# Sc2PtCl PBE optimized geometry
# - D(E_F): 3.2 states/eV/f.u.
# - Formation energy (no corrections): -0.8078 eV per atom
# - Total energy: -5.945 eV/atom
data_Sc2PtCl
_chemical_formula_sum 'Sc4 Pt2 Cl2'
_symmetry_space_group_name_H-M 'I -4 m 2'
_symmetry_Int_Tables_number 119
_symmetry_space_group_name_Hall 'I -4 -2'
_cell_length_a 3.738
_cell_length_b 3.738
_cell_length_c 11.409
_cell_angle_alpha 90.00
_cell_angle_beta 90.00
_cell_angle_gamma 90.00
loop_
_atom_site_label
_atom_site_fract_x
_atom_site_fract_y
_atom_site_fract_z
Sc1 0.000 0.000 0.000
Sc2 0.000 0.500 0.250
Pt1 0.000 0.000 0.500
Cl1 0.000 0.500 0.750

---

Entry 3:
# ScPtCl2 PBE optimized geometry
# - D(E_F): 2.1 states/eV/f.u.
# - Formation energy (no corrections): -0.7740 eV per atom
# - Total energy: -4.790 eV/atom
data_ScPtCl2
_chemical_formula_sum 'Sc3 Pt3 Cl6'
_symmetry_space_group_name_H-M 'R -3 m'
_symmetry_Int_Tables_number 166
_symmetry_space_group_name_Hall '-R 3 2"'
_cell_length_a 3.2840
_cell_length_b 3.2840
_cell_length_c 24.6456
_cell_angle_alpha 90.00
_cell_angle_beta 90.00
_cell_angle_gamma 120.00
loop_
_atom_site_label
_atom_site_fract_x
_atom_site_fract_y
_atom_site_fract_z
Sc1 0.0000 0.0000 0.0000
Pt1 0.0000 0.0000 0.5000
Cl1 0.0000 0.0000 0.4028

---

Entry 4:
# ScPtCl2 PBE optimized geometry
# - D(E_F): 2.8 states/eV/f.u.
# - Formation energy (no corrections): -0.9197 eV per atom
# - Total energy: -4.936 eV/atom
data_ScPtCl2
_chemical_formula_sum 'Sc1 Pt1 Cl2'
_symmetry_space_group_name_H-M 'P 4 m m'
_symmetry_Int_Tables_number 99
_cell_length_a 3.201
_cell_length_b 3.201
_cell_length_c 8.208
_cell_angle_alpha 90.00
_cell_angle_beta 90.00
_cell_angle_gamma 90.00
loop_
_symmetry_equiv_pos_as_xyz
'x,y,z'
'-y,x,z'
'-x,-y,z'
'y,-x,z'
'-x,y,z'
'y,x,z'
'x,-y,z'
'-y,-x,z'
loop_
_atom_site_label
_atom_site_fract_x
_atom_site_fract_y
_atom_site_fract_z
Sc1 0.000 0.000 0.000
Pt1 0.500 0.500 0.803
Cl1 0.000 0.000 0.592
Cl2 0.500 0.500 0.197

---

Entry 5:
# Sc2PtCl PBE optimized geometry
# - D(E_F): 4.3 states/eV/f.u.
# - Formation energy (no corrections): -1.0108 eV per atom
# - Total energy: -6.148 eV/atom
data_Sc2PtCl
_chemical_formula_sum 'Sc4 Pt2 Cl2'
_symmetry_space_group_name_H-M 'A m m 2'
_symmetry_Int_Tables_number 38
_cell_length_a 4.560
_cell_length_b 3.195
_cell_length_c 10.514
_cell_angle_alpha 90.00
_cell_angle_beta 90.00
_cell_angle_gamma 90.00
loop_
_symmetry_equiv_pos_as_xyz
'x,y,z'
'-x,-y,z'
'-x,y,z'
'x,-y,z'
'x,y+1/2,z+1/2'
'-x,-y+1/2,z+1/2'
'-x,y+1/2,z+1/2'
'x,-y+1/2,z+1/2'
loop_
_atom_site_label
_atom_site_fract_x
_atom_site_fract_y
_atom_site_fract_z
Sc1 0.000 0.000 0.000
Sc2 0.500 0.000 0.246
Pt1 0.500 0.000 0.518
Cl1 0.000 0.000 0.757

---

Entry 6:
# ScPtCl2 PBE optimized geometry
# - D(E_F): 3.5 states/eV/f.u.
# - Formation energy (no corrections): -0.5735 eV per atom
# - Total energy: -4.590 eV/atom
data_ScPtCl2
_chemical_formula_sum 'Sc1 Pt1 Cl2'
_symmetry_space_group_name_H-M 'P 1 2/m 1'
_symmetry_Int_Tables_number 10
_cell_length_a 4.351
_cell_length_b 4.312
_cell_length_c 4.362
_cell_angle_alpha 90.00
_cell_angle_beta 90.52
_cell_angle_gamma 90.00
loop_
_symmetry_equiv_pos_as_xyz
'x,y,z'
'-x,-y,-z'
'-x,y,-z'
'x,-y,z'
loop_
_atom_site_label
_atom_site_fract_x
_atom_site_fract_y
_atom_site_fract_z
Sc1 0.000 0.000 0.000
Pt1 0.500 0.000 0.500
Cl1 0.236 0.500 0.764

---

Entry 7:
# ScPtCl2 PBE optimized geometry
# - D(E_F): 0.5 states/eV/f.u.
# - Formation energy (no corrections): -1.0405 eV per atom
# - Total energy: -5.057 eV/atom
data_ScPtCl2
_chemical_formula_sum 'Sc2 Pt2 Cl4'
_symmetry_space_group_name_H-M 'A m m 2'
_symmetry_Int_Tables_number 38
_cell_length_a 3.638
_cell_length_b 5.113
_cell_length_c 9.140
_cell_angle_alpha 90.00
_cell_angle_beta 90.00
_cell_angle_gamma 90.00
loop_
_symmetry_equiv_pos_as_xyz
'x,y,z'
'-x,-y,z'
'-x,y,z'
'x,-y,z'
'x,y+1/2,z+1/2'
'-x,-y+1/2,z+1/2'
'-x,y+1/2,z+1/2'
'x,-y+1/2,z+1/2'
loop_
_atom_site_label
_atom_site_fract_x
_atom_site_fract_y
_atom_site_fract_z
Sc1 0.000 0.000 0.000
Pt1 0.500 0.000 0.801
Cl1 0.000 0.000 0.543
Cl2 0.500 0.000 0.239

---

Entry 8:
# ScPtCl PBE optimized geometry
# - Formation energy (no corrections): -1.4285 eV per atom
# - Total energy: -6.168 eV/atom
data_ScPtCl
_chemical_formula_sum 'Sc6 Pt6 Cl6'
_symmetry_space_group_name_H-M 'R -3 m'
_symmetry_Int_Tables_number 166
_symmetry_space_group_name_Hall '-R 3 2"'
_cell_length_a 3.6306
_cell_length_b 3.6306
_cell_length_c 35.3447
_cell_angle_alpha 90.00
_cell_angle_beta 90.00
_cell_angle_gamma 120.00
loop_
_atom_site_label
_atom_site_fract_x
_atom_site_fract_y
_atom_site_fract_z
Sc1 0.0000 0.0000 0.0954
Pt1 0.0000 0.0000 0.1923
Cl1 0.0000 0.0000 0.3829

---

Entry 9:
# ScPtCl PBE optimized geometry
# - D(E_F): 0.1 states/eV/f.u.
# - Formation energy (no corrections): -1.3792 eV per atom
# - Total energy: -6.119 eV/atom
data_ScPtCl
_chemical_formula_sum 'Sc4 Pt4 Cl4'
_symmetry_space_group_name_H-M 'C 1 m 1'
_symmetry_Int_Tables_number 8
_cell_length_a 6.240
_cell_length_b 3.594
_cell_length_c 11.961
_cell_angle_alpha 90.00
_cell_angle_beta 90.24
_cell_angle_gamma 90.00
loop_
_symmetry_equiv_pos_as_xyz
'x,y,z'
'x,-y,z'
'x+1/2,y+1/2,z'
'x+1/2,-y+1/2,z'
loop_
_atom_site_label
_atom_site_fract_x
_atom_site_fract_y
_atom_site_fract_z
Sc1 0.000 0.000 0.000
Sc2 0.164 0.500 0.573
Pt1 0.166 0.500 0.862
Pt2 0.498 0.500 0.709
Cl1 0.168 0.500 0.143
Cl2 0.329 0.000 0.437

---

Entry 10:
# ScPtCl2 PBE optimized geometry
# - D(E_F): 5.0 states/eV/f.u.
# - Formation energy (no corrections): -0.9830 eV per atom
# - Total energy: -4.999 eV/atom
data_ScPtCl2
_chemical_formula_sum 'Sc3 Pt3 Cl6'
_symmetry_space_group_name_H-M 'R 3 m'
_symmetry_Int_Tables_number 160
_symmetry_space_group_name_Hall 'R 3 -2"'
_cell_length_a 3.5396
_cell_length_b 3.5396
_cell_length_c 25.5941
_cell_angle_alpha 90.00
_cell_angle_beta 90.00
_cell_angle_gamma 120.00
loop_
_atom_site_label
_atom_site_fract_x
_atom_site_fract_y
_atom_site_fract_z
Sc1 0.0000 0.0000 0.0000
Pt1 0.0000 0.0000 0.2659
Cl1 0.0000 0.0000 0.5311
Cl2 0.0000 0.0000 0.7307

---

Entry 11:
# ScPtCl PBE optimized geometry
# - D(E_F): 0.2 states/eV/f.u.
# - Formation energy (no corrections): -1.1556 eV per atom
# - Total energy: -5.895 eV/atom
data_ScPtCl
_chemical_formula_sum 'Sc4 Pt4 Cl4'
_symmetry_space_group_name_H-M 'F m m 2'
_symmetry_Int_Tables_number 42
_symmetry_space_group_name_Hall 'F 2 -2'
_cell_length_a 4.472
_cell_length_b 4.481
_cell_length_c 13.004
_cell_angle_alpha 90.00
_cell_angle_beta 90.00
_cell_angle_gamma 90.00
loop_
_atom_site_label
_atom_site_fract_x
_atom_site_fract_y
_atom_site_fract_z
Sc1 0.000 0.000 0.000
Pt1 0.000 0.000 0.616
Cl1 0.000 0.000 0.370

---

Entry 12:
# Sc3PtCl PBE optimized geometry
# - D(E_F): 4.0 states/eV/f.u.
# - Formation energy (no corrections): -0.5379 eV per atom
# - Total energy: -5.914 eV/atom
data_Sc3PtCl
_chemical_formula_sum 'Sc3 Pt1 Cl1'
_symmetry_space_group_name_H-M 'P m -3 m'
_symmetry_Int_Tables_number 221
_symmetry_space_group_name_Hall '-P 4 2 3'
_cell_length_a 4.661
_cell_length_b 4.661
_cell_length_c 4.661
_cell_angle_alpha 90.00
_cell_angle_beta 90.00
_cell_angle_gamma 90.00
loop_
_atom_site_label
_atom_site_fract_x
_atom_site_fract_y
_atom_site_fract_z
Sc1 0.000 0.000 0.500
Pt1 0.500 0.500 0.500
Cl1 0.000 0.000 0.000

---

Entry 13:
# Sc2PtCl PBE optimized geometry
# - D(E_F): 1.0 states/eV/f.u.
# - Formation energy (no corrections): -0.8216 eV per atom
# - Total energy: -5.959 eV/atom
data_Sc2PtCl
_chemical_formula_sum 'Sc6 Pt3 Cl3'
_symmetry_space_group_name_H-M 'R 3 m'
_symmetry_Int_Tables_number 160
_symmetry_space_group_name_Hall 'R 3 -2"'
_cell_length_a 3.4298
_cell_length_b 3.4298
_cell_length_c 28.3435
_cell_angle_alpha 90.00
_cell_angle_beta 90.00
_cell_angle_gamma 120.00
loop_
_atom_site_label
_atom_site_fract_x
_atom_site_fract_y
_atom_site_fract_z
Sc1 0.0000 0.0000 0.0000
Sc2 0.0000 0.0000 0.2334
Pt1 0.0000 0.0000 0.5096
Cl1 0.0000 0.0000 0.7250

---

Entry 14:
# Sc2PtCl PBE optimized geometry
# - D(E_F): 3.8 states/eV/f.u.
# - Formation energy (no corrections): -0.9517 eV per atom
# - Total energy: -6.089 eV/atom
data_Sc2PtCl
_chemical_formula_sum 'Sc4 Pt2 Cl2'
_symmetry_space_group_name_H-M 'C 1 2/m 1'
_symmetry_Int_Tables_number 12
_cell_length_a 7.076
_cell_length_b 6.908
_cell_length_c 3.030
_cell_angle_alpha 90.00
_cell_angle_beta 90.13
_cell_angle_gamma 90.00
loop_
_symmetry_equiv_pos_as_xyz
'x,y,z'
'-x,-y,-z'
'-x,y,-z'
'x,-y,z'
'x+1/2,y+1/2,z'
'-x+1/2,-y+1/2,-z'
'-x+1/2,y+1/2,-z'
'x+1/2,-y+1/2,z'
loop_
_atom_site_label
_atom_site_fract_x
_atom_site_fract_y
_atom_site_fract_z
Sc1 0.250 0.250 0.000
Pt1 0.000 0.000 0.500
Cl1 0.000 0.500 0.500

---

Entry 15:
# ScPtCl2 PBE optimized geometry
# - D(E_F): 4.5 states/eV/f.u.
# - Formation energy (no corrections): -0.4807 eV per atom
# - Total energy: -4.497 eV/atom
data_ScPtCl2
_chemical_formula_sum 'Sc4 Pt4 Cl8'
_symmetry_space_group_name_H-M 'F m -3 m'
_symmetry_Int_Tables_number 225
_symmetry_space_group_name_Hall '-F 4 2 3'
_cell_length_a 6.596
_cell_length_b 6.596
_cell_length_c 6.596
_cell_angle_alpha 90.00
_cell_angle_beta 90.00
_cell_angle_gamma 90.00
loop_
_atom_site_label
_atom_site_fract_x
_atom_site_fract_y
_atom_site_fract_z
Sc1 0.000 0.000 0.000
Pt1 0.000 0.000 0.500
Cl1 0.250 0.250 0.250

---

Entry 16:
# ScPtCl2 PBE optimized geometry
# - D(E_F): 2.3 states/eV/f.u.
# - Formation energy (no corrections): -0.8685 eV per atom
# - Total energy: -4.885 eV/atom
data_ScPtCl2
_chemical_formula_sum 'Sc2 Pt2 Cl4'
_symmetry_space_group_name_H-M 'I m m 2'
_symmetry_Int_Tables_number 44
_cell_length_a 3.208
_cell_length_b 4.806
_cell_length_c 12.323
_cell_angle_alpha 90.00
_cell_angle_beta 90.00
_cell_angle_gamma 90.00
loop_
_symmetry_equiv_pos_as_xyz
'x,y,z'
'-x,-y,z'
'-x,y,z'
'x,-y,z'
'x+1/2,y+1/2,z+1/2'
'-x+1/2,-y+1/2,z+1/2'
'-x+1/2,y+1/2,z+1/2'
'x+1/2,-y+1/2,z+1/2'
loop_
_atom_site_label
_atom_site_fract_x
_atom_site_fract_y
_atom_site_fract_z
Sc1 0.000 0.000 0.000
Pt1 0.000 0.500 0.336
Cl1 0.000 0.000 0.477
Cl2 0.000 0.500 0.660

---

Entry 17:
# Sc2PtCl PBE optimized geometry
# - D(E_F): 6.1 states/eV/f.u.
# - Formation energy (no corrections): -0.8412 eV per atom
# - Total energy: -5.979 eV/atom
data_Sc2PtCl
_chemical_formula_sum 'Sc8 Pt4 Cl4'
_symmetry_space_group_name_H-M 'F m -3 m'
_symmetry_Int_Tables_number 225
_symmetry_space_group_name_Hall '-F 4 2 3'
_cell_length_a 6.719
_cell_length_b 6.719
_cell_length_c 6.719
_cell_angle_alpha 90.00
_cell_angle_beta 90.00
_cell_angle_gamma 90.00
loop_
_atom_site_label
_atom_site_fract_x
_atom_site_fract_y
_atom_site_fract_z
Sc1 0.250 0.250 0.250
Pt1 0.000 0.000 0.000
Cl1 0.000 0.000 0.500

---

Entry 18:
# ScPtCl2 PBE optimized geometry
# - D(E_F): 1.1 states/eV/f.u.
# - Formation energy (no corrections): -0.9944 eV per atom
# - Total energy: -5.011 eV/atom
data_ScPtCl2
_chemical_formula_sum 'Sc2 Pt2 Cl4'
_symmetry_space_group_name_H-M 'I m m m'
_symmetry_Int_Tables_number 71
_symmetry_space_group_name_Hall '-I 2 2'
_cell_length_a 3.277
_cell_length_b 4.616
_cell_length_c 13.571
_cell_angle_alpha 90.00
_cell_angle_beta 90.00
_cell_angle_gamma 90.00
loop_
_atom_site_label
_atom_site_fract_x
_atom_site_fract_y
_atom_site_fract_z
Sc1 0.000 0.000 0.000
Pt1 0.000 0.000 0.500
Cl1 0.000 0.500 0.359

---

Entry 19:
# ScPtCl2 PBE optimized geometry
# - D(E_F): 1.6 states/eV/f.u.
# - Formation energy (no corrections): -0.5815 eV per atom
# - Total energy: -4.598 eV/atom
data_ScPtCl2
_chemical_formula_sum 'Sc2 Pt2 Cl4'
_symmetry_space_group_name_H-M 'I -4 m 2'
_symmetry_Int_Tables_number 119
_symmetry_space_group_name_Hall 'I -4 -2'
_cell_length_a 4.040
_cell_length_b 4.040
_cell_length_c 8.885
_cell_angle_alpha 90.00
_cell_angle_beta 90.00
_cell_angle_gamma 90.00
loop_
_atom_site_label
_atom_site_fract_x
_atom_site_fract_y
_atom_site_fract_z
Sc1 0.000 0.000 0.000
Pt1 0.000 0.500 0.250
Cl1 0.000 0.000 0.500
Cl2 0.000 0.500 0.750

---

Entry 20:
# Sc2PtCl PBE optimized geometry
# - D(E_F): 2.6 states/eV/f.u.
# - Formation energy (no corrections): -1.1123 eV per atom
# - Total energy: -6.250 eV/atom
data_Sc2PtCl
_chemical_formula_sum 'Sc2 Pt1 Cl1'
_symmetry_space_group_name_H-M 'P 4/m m m'
_symmetry_Int_Tables_number 123
_symmetry_space_group_name_Hall '-P 4 2'
_cell_length_a 3.786
_cell_length_b 3.786
_cell_length_c 5.528
_cell_angle_alpha 90.00
_cell_angle_beta 90.00
_cell_angle_gamma 90.00
loop_
_atom_site_label
_atom_site_fract_x
_atom_site_fract_y
_atom_site_fract_z
Sc1 0.000 0.000 0.000
Sc2 0.500 0.500 0.500
Pt1 0.000 0.000 0.500
Cl1 0.500 0.500 0.000